Record 1
VASP calculation (PBE) on crystalline InW3N2 at its relaxed geometry.

The value obtained for the total energy is -9.35 eV per atom.

The structure belongs to space group P6_3/mmc (No. 194); the cell edges are 3.2183, 3.2183 and 17.9667 Å and the angles 90.00°, 90.00° and 120.00°. The asymmetric unit holds In at (0.0000, 0.0000, 0.2500), W at (0.0000, 0.0000, 0.0000), W at (0.3333, 0.6667, 0.1211) and N at (0.3333, 0.6667, 0.5625).

=====

Record 2
VASP calculation (PBE) on crystalline BaAgO3 at its relaxed geometry.

The value obtained for the total energy is -4.38 eV per atom.

The structure belongs to space group P4mm (No. 99); the cell edges are 4.308, 4.308 and 4.764 Å and the angles 90.00°, 90.00° and 90.00°. The asymmetric unit holds Ba at (0.000, 0.000, 0.000), Ag at (0.500, 0.500, 0.490), O at (0.000, 0.000, 0.498) and O at (0.000, 0.500, 0.490).

=====

Record 3
VASP calculation (PBE) on crystalline LiCdN at its relaxed geometry.

The value obtained for the total energy is -3.90 eV per atom.

The structure belongs to space group R3m (No. 160, hexagonal axes); the cell edges are 2.9973, 2.9973 and 33.7639 Å and the angles 90.00°, 90.00° and 120.00°. The asymmetric unit holds Li at (0.0000, 0.0000, 0.0000), Li at (0.0000, 0.0000, 0.1047), Cd at (0.0000, 0.0000, 0.5927), Cd at (0.0000, 0.0000, 0.8454), N at (0.0000, 0.0000, 0.3680) and N at (0.0000, 0.0000, 0.4034).

=====

Record 4
VASP calculation (PBE) on crystalline RbZnMo at its relaxed geometry.

The value obtained for the total energy is -2.64 eV per atom.

The structure belongs to space group F-43m (No. 216); the cell edges are 7.521, 7.521 and 7.521 Å and the angles 90.00°, 90.00° and 90.00°. The asymmetric unit holds Rb at (0.000, 0.000, 0.000), Zn at (0.000, 0.000, 0.500) and Mo at (0.250, 0.250, 0.250).

=====

Record 5
VASP calculation (PBE) on crystalline NdGd2Cd3In2Au at its relaxed geometry.

The value obtained for the total energy is -3.34 eV per atom.

The structure belongs to space group Amm2 (No. 38); the cell edges are 4.537, 13.195 and 7.580 Å and the angles 90.00°, 90.00° and 90.00°. The asymmetric unit holds Nd at (0.000, 0.000, 0.000), Gd at (0.000, 0.202, 0.607), Cd at (0.500, 0.000, 0.649), Cd at (0.500, 0.122, 0.284), In at (0.500, 0.169, 0.905) and Au at (0.000, 0.000, 0.410).

=====

Record 6
VASP calculation (PBE) on crystalline LaPdW at its relaxed geometry.

The formation energy is 1.30 eV/atom.

The structure belongs to space group F-43m (No. 216); the cell edges are 6.669, 6.669 and 6.669 Å and the angles 90.00°, 90.00° and 90.00°. The asymmetric unit holds La at (0.000, 0.000, 0.000), Pd at (0.250, 0.250, 0.750) and W at (0.250, 0.250, 0.250).

=====

Record 7
VASP calculation (PBE) on crystalline PrHgOs at its relaxed geometry.

The formation energy is 0.43 eV/atom.

The structure belongs to space group F-43m (No. 216); the cell edges are 6.743, 6.743 and 6.743 Å and the angles 90.00°, 90.00° and 90.00°. The asymmetric unit holds Pr at (0.000, 0.000, 0.000), Hg at (0.000, 0.000, 0.500) and Os at (0.250, 0.250, 0.750).

=====

Record 8
VASP calculation (PBE) on crystalline Nb9PO25 at its relaxed geometry.

The value obtained for the total energy is -8.80 eV per atom.

The structure belongs to space group I-4 (No. 82); the cell edges are 15.717, 15.717 and 3.845 Å and the angles 90.00°, 90.00° and 90.00°. The asymmetric unit holds Nb at (0.000, 0.000, 0.000), Nb at (0.110, 0.782, 0.998), Nb at (0.113, 0.330, 0.992), P at (0.000, 0.500, 0.250), O at (0.000, 0.000, 0.500), O at (0.010, 0.279, 0.991), O at (0.048, 0.566, 0.472), O at (0.055, 0.885, 0.001), O at (0.112, 0.748, 0.495), O at (0.144, 0.346, 0.505) and O at (0.176, 0.222, 0.015).

=====

Record 9
VASP calculation (PBE) on crystalline HoLuTl2 at its relaxed geometry.

The value obtained for the total energy is -3.46 eV per atom.

The structure belongs to space group P4/mmm (No. 123); the cell edges are 4.359, 4.359 and 6.166 Å and the angles 90.00°, 90.00° and 90.00°. The asymmetric unit holds Ho at (0.000, 0.000, 0.000), Lu at (0.500, 0.500, 0.500), Tl at (0.000, 0.000, 0.500) and Tl at (0.500, 0.500, 0.000).

=====

Record 10
VASP calculation (PBE) on crystalline DyNpTc at its relaxed geometry.

The formation energy is 1.05 eV/atom.

The structure belongs to space group F-43m (No. 216); the cell edges are 6.435, 6.435 and 6.435 Å and the angles 90.00°, 90.00° and 90.00°. The asymmetric unit holds Dy at (0.000, 0.000, 0.000), Np at (0.250, 0.250, 0.250) and Tc at (0.000, 0.000, 0.500).

=====

Record 11
VASP calculation (PBE) on crystalline GdHoSc2In2 at its relaxed geometry.

The value obtained for the total energy is -4.93 eV per atom.

The structure belongs to space group P-3m1 (No. 164); the cell edges are 5.1920, 5.1920 and 6.5660 Å and the angles 90.00°, 90.00° and 120.00°. The asymmetric unit holds Gd at (0.0000, 0.0000, 0.0000), Ho at (0.0000, 0.0000, 0.5000), Sc at (0.3333, 0.6667, 0.2503) and In at (0.3333, 0.6667, 0.7497).

=====

Record 12
VASP calculation (PBE) on crystalline Np at its relaxed geometry.

The formation energy is 0.32 eV/atom.

The structure belongs to space group P6_3/mmc (No. 194); the cell edges are 2.7983, 2.7983 and 6.1324 Å and the angles 90.00°, 90.00° and 120.00°. The asymmetric unit holds Np at (0.3333, 0.6667, 0.2500).

=====

Record 13
VASP calculation (PBE) on crystalline TaOsCSe2 at its relaxed geometry.

The value obtained for the total energy is -8.15 eV per atom.

The structure belongs to space group P3m1 (No. 156); the cell edges are 3.4111, 3.4111 and 9.1235 Å and the angles 90.00°, 90.00° and 120.00°. The asymmetric unit holds Ta at (0.0000, 0.0000, 0.0000), Os at (0.3333, 0.6667, 0.2133), C at (0.6667, 0.3333, 0.1298), Se at (0.0000, 0.0000, 0.4024) and Se at (0.3333, 0.6667, 0.8061).

=====

Record 14
VASP calculation (PBE) on crystalline KPrCoTe3 at its relaxed geometry.

The value obtained for the total energy is -4.56 eV per atom.

The structure belongs to space group Cmcm (No. 63); the cell edges are 4.375, 15.646 and 11.877 Å and the angles 90.00°, 90.00° and 90.00°. The asymmetric unit holds K at (0.000, 0.244, 0.250), Pr at (0.000, 0.500, 0.000), Co at (0.000, 0.034, 0.750), Te at (0.000, 0.133, 0.577) and Te at (0.000, 0.434, 0.750).

=====

Record 15
VASP calculation (PBE) on crystalline PmAsNO at its relaxed geometry.

The value obtained for the total energy is -6.87 eV per atom.

The structure belongs to space group P4/nmm (No. 129, origin choice 2); the cell edges are 4.255, 4.255 and 7.193 Å and the angles 90.00°, 90.00° and 90.00°. The asymmetric unit holds Pm at (0.250, 0.250, 0.146), As at (0.250, 0.750, 0.500), N at (0.250, 0.250, 0.492) and O at (0.250, 0.750, 0.000).

=====

Record 16
VASP calculation (PBE) on crystalline Zr2GaB at its relaxed geometry.

The value obtained for the total energy is -7.14 eV per atom.

The structure belongs to space group P6_3/mmc (No. 194); the cell edges are 3.4327, 3.4327 and 14.3651 Å and the angles 90.00°, 90.00° and 120.00°. The asymmetric unit holds Zr at (0.3333, 0.6667, 0.0929), Ga at (0.3333, 0.6667, 0.7500) and B at (0.0000, 0.0000, 0.0000).

=====

Record 17
VASP calculation (PBE) on crystalline K4P2PdO8 at its relaxed geometry.

The value obtained for the total energy is -6.00 eV per atom.

The structure belongs to space group P-1 (No. 2); the cell edges are 5.547, 6.046 and 7.267 Å and the angles 86.76°, 80.20° and 80.61°. The asymmetric unit holds K at (0.148, 0.183, 0.360), K at (0.234, 0.719, 0.990), P at (0.317, 0.229, 0.775), Pd at (0.500, 0.500, 0.500), O at (0.182, 0.449, 0.679), O at (0.230, 0.021, 0.717), O at (0.277, 0.253, 0.987) and O at (0.403, 0.755, 0.313).

=====

Record 18
VASP calculation (PBE) on crystalline Tb2AlHg5 at its relaxed geometry.

The value obtained for the total energy is -2.14 eV per atom.

The structure belongs to space group Amm2 (No. 38); the cell edges are 4.895, 6.609 and 11.412 Å and the angles 90.00°, 90.00° and 90.00°. The asymmetric unit holds Tb at (0.000, 0.000, 0.000), Tb at (0.500, 0.000, 0.333), Al at (0.500, 0.000, 0.818), Hg at (0.000, 0.000, 0.502), Hg at (0.000, 0.239, 0.755) and Hg at (0.500, 0.249, 0.084).

=====

Record 19
VASP calculation (PBE) on crystalline CsCuGeSe2S at its relaxed geometry.

The value obtained for the total energy is -3.81 eV per atom.

The structure belongs to space group Cmcm (No. 63); the cell edges are 3.762, 15.967 and 10.490 Å and the angles 90.00°, 90.00° and 90.00°. The asymmetric unit holds Cs at (0.000, 0.232, 0.250), Cu at (0.000, 0.042, 0.750), Ge at (0.000, 0.500, 0.000), Se at (0.000, 0.112, 0.546) and S at (0.000, 0.460, 0.750).

=====

Record 20
VASP calculation (PBE) on crystalline GaAgSeO at its relaxed geometry.

The value obtained for the total energy is -4.38 eV per atom.

The structure belongs to space group Pmc2_1 (No. 26); the cell edges are 3.824, 7.215 and 5.647 Å and the angles 90.00°, 90.00° and 90.00°. The asymmetric unit holds Ga at (0.000, 0.121, 0.000), Ag at (0.500, 0.303, 0.565), Se at (0.500, 0.316, 0.097) and O at (0.000, 0.098, 0.670).